{"formula": "FeClF3", "functional": "GGA+U", "state": "optimized geometry", "lattice": [[7.069, 0.000, 0.000], [-3.534, 6.122, 0.000], [0.000, 0.000, 6.629]], "species": ["Fe", "Fe", "Fe", "Cl", "Cl", "Cl", "F", "F", "F", "F", "F", "F", "F", "F", "F"], "frac_coords": [[0.000, 0.000, 0.000], [0.333, 0.667, 0.667], [0.667, 0.333, 0.333], [0.000, 0.000, 0.658], [0.333, 0.667, 0.324], [0.667, 0.333, 0.991], [0.052, 0.526, 0.745], [0.141, 0.282, 0.078], [0.141, 0.859, 0.078], [0.385, 0.192, 0.411], [0.474, 0.526, 0.745], [0.474, 0.948, 0.745], [0.718, 0.859, 0.078], [0.808, 0.192, 0.411], [0.808, 0.615, 0.411]], "e_above_lowest_polymorph_ev_per_fu": 1.07, "n_ef_per_ev_atom": 1.00, "total_magnetization_mub_per_fu": 4.0}